[1]
AlCoSbAu | PBE | optimized geometry

```
4
Lattice="-3.494 -2.406 1.746 -3.982 -0.236 -2.266 -1.287 -3.937 -1.972" Properties=species:S:1:pos:R:3 pbc="T T T"
Al 0.000 0.000 0.000
Au -6.572 -4.935 -1.869
Co -2.191 -1.645 -0.623
Sb -4.381 -3.290 -1.246
```

Values from the calculation:
For the raw total energy, the calculation gives -4.353 eV per atom. The space-group type is F-43m.


[2]
LaSmCd4 | PBE | optimized geometry

```
6
Lattice="-2.496 3.722 4.228 2.496 -3.722 4.228 2.496 3.722 -4.228" Properties=species:S:1:pos:R:3 pbc="T T T"
Cd 0.000 1.578 1.392
Cd 2.496 -1.571 2.815
Cd 2.496 1.571 2.815
Cd 0.000 5.867 1.392
La 0.000 0.000 4.455
Sm 0.000 3.722 4.042
```

Values from the calculation:
For the raw total energy, the calculation gives -2.552 eV per atom. The space-group type is Imm2. Its calculated formation energy is -33.7 kJ/mol of atoms.


[3]
Ba2TaBO6 | PBE | optimized geometry

```
10
Lattice="4.663 -3.142 0.000 4.663 3.142 0.000 -4.241 0.000 4.652" Properties=species:S:1:pos:R:3 pbc="T T T"
B 0.000 0.000 0.000
Ba 5.934 0.000 1.162
Ba -0.850 0.000 3.490
O 0.967 0.000 0.861
O 3.481 -1.380 1.316
O 3.481 1.380 1.316
O 1.604 -1.380 3.336
O 1.604 1.380 3.336
O 4.117 0.000 3.790
Ta 2.542 0.000 2.326
```

Values from the calculation:
For the raw total energy, the calculation gives -7.797 eV per atom. The space-group type is C2/m.


[4]
HoErGa2Fe4 | PBE | optimized geometry

```
8
Lattice="3.931 0.000 0.000 0.000 4.929 0.000 0.000 0.000 6.801" Properties=species:S:1:pos:R:3 pbc="T T T"
Er 0.000 0.000 1.271
Fe 0.000 2.465 2.748
Fe 1.965 1.231 3.399
Fe 1.965 3.698 3.399
Fe 0.000 0.000 4.048
Ga 1.965 2.465 1.133
Ga 1.965 0.000 5.670
Ho 0.000 2.465 5.536
```

Values from the calculation:
For the raw total energy, the calculation gives -6.396 eV per atom. The space-group type is Pmm2.


[5]
PuHgAu | PBE | optimized geometry

```
3
Lattice="2.537 0.403 4.321 2.380 4.282 1.127 -1.746 2.954 3.673" Properties=species:S:1:pos:R:3 pbc="T T T"
Au 0.793 1.910 2.280
Hg 2.378 5.729 6.841
Pu 0.000 0.000 0.000
```

Values from the calculation:
For the raw total energy, the calculation gives -5.937 eV per atom. The space-group type is F-43m. Its calculated formation energy is -3.8 kJ/mol of atoms.


[6]
YMgCoBi | PBE | optimized geometry

```
4
Lattice="0.000 3.462 3.462 3.462 0.000 3.462 3.462 3.462 0.000" Properties=species:S:1:pos:R:3 pbc="T T T"
Bi 0.000 0.000 0.000
Co 5.193 5.193 5.193
Mg 1.731 1.731 1.731
Y 3.462 3.462 3.462
```

Values from the calculation:
For the raw total energy, the calculation gives -4.776 eV per atom. The space-group type is F-43m.


[7]
AcZr2 | PBE | optimized geometry

```
6
Lattice="3.091 5.354 0.000 -3.091 5.354 0.000 0.000 0.000 5.307" Properties=species:S:1:pos:R:3 pbc="T T T"
Ac 0.000 0.000 0.000
Ac 0.000 3.569 0.000
Zr 0.000 7.138 0.000
Zr 1.750 7.138 2.654
Zr -0.875 5.623 2.654
Zr -0.875 8.654 2.654
```

Values from the calculation:
For the raw total energy, the calculation gives -6.783 eV per atom. The space-group type is P-62m. Its calculated formation energy is 27.4 kJ/mol of atoms.


[8]
HfB2O5 | PBE | optimized geometry

```
32
Lattice="4.032 0.000 0.000 0.000 8.512 0.000 -0.772 0.000 7.598" Properties=species:S:1:pos:R:3 pbc="T T T"
B 3.506 3.494 0.472
B 3.881 6.974 1.038
B -0.235 2.718 2.761
B 0.140 7.750 3.327
B 3.120 0.762 4.271
B 3.495 5.794 4.838
B -0.621 1.538 6.560
B -0.246 5.018 7.127
Hf 2.165 0.947 1.451
Hf 1.481 5.203 2.348
Hf 1.779 3.309 5.250
Hf 1.095 7.564 6.147
O 0.840 6.326 0.130
O 2.952 7.853 0.397
O 0.869 4.012 0.578
O 2.873 3.411 1.789
O 3.307 5.888 1.794
O 0.339 1.632 2.006
O 0.773 7.667 2.010
O 2.777 8.268 3.221
O 0.694 3.597 3.402
O 2.806 2.070 3.669
O 0.454 6.442 3.930
O 2.566 4.915 4.197
O 0.483 0.244 4.377
O 2.487 0.844 5.589
O 2.921 6.879 5.593
O -0.047 2.623 5.805
O 0.387 5.100 5.809
O 2.391 4.500 7.020
O 0.308 0.659 7.201
O 2.420 2.186 7.468
```

Values from the calculation:
For the raw total energy, the calculation gives -8.675 eV per atom. The space-group type is P2_1/c.


[9]
CsMgAsPd | PBE | optimized geometry

```
4
Lattice="0.000 3.728 3.728 3.728 0.000 3.728 3.728 3.728 0.000" Properties=species:S:1:pos:R:3 pbc="T T T"
As 0.000 0.000 0.000
Cs 1.864 1.864 1.864
Mg 5.593 5.593 5.593
Pd 3.728 3.728 3.728
```

Values from the calculation:
For the raw total energy, the calculation gives -2.779 eV per atom. The space-group type is F-43m.


[10]
HfGaTc | PBE | optimized geometry

```
6
Lattice="-0.861 5.940 -3.295 -3.140 3.906 -4.665 -2.912 0.944 3.443" Properties=species:S:1:pos:R:3 pbc="T T T"
Ga -1.697 2.758 -1.273
Ga -5.217 8.032 -3.245
Hf -3.140 6.010 -3.699
Hf -3.773 4.780 -0.819
Tc -4.273 9.167 -6.500
Tc -2.640 1.623 1.982
```

Values from the calculation:
For the raw total energy, the calculation gives -8.242 eV per atom. The space-group type is C2/m.


[11]
BaTbScSe3 | PBE | optimized geometry

```
12
Lattice="-3.634 1.101 -1.917 0.731 -7.504 -0.976 -5.392 -1.727 9.233" Properties=species:S:1:pos:R:3 pbc="T T T"
Ba -1.904 -3.990 1.318
Ba -6.391 -4.140 5.022
Sc -3.237 -0.340 1.222
Sc -5.058 -7.790 5.118
Se -2.407 -1.431 -0.977
Se -4.086 -5.779 -0.291
Se -4.512 -2.105 2.627
Se -3.783 -6.025 3.713
Se -4.209 -2.351 6.631
Se -5.888 -6.699 7.317
Tb 0.000 0.000 0.000
Tb -2.696 -0.863 4.617
```

Values from the calculation:
For the raw total energy, the calculation gives -5.559 eV per atom. The space-group type is Cmcm.


[12]
FeAgBrCl3 | PBE | optimized geometry

```
6
Lattice="-4.926 -3.057 0.469 2.550 -3.416 3.974 -0.439 6.463 1.736" Properties=species:S:1:pos:R:3 pbc="T T T"
Ag -1.174 -3.225 2.236
Br -3.162 2.575 1.902
Cl -2.430 -4.055 4.333
Cl -0.778 -0.680 2.214
Cl 0.708 2.117 3.928
Fe 0.482 -0.084 3.934
```

Values from the calculation:
For the raw total energy, the calculation gives -3.687 eV per atom. The space-group type is P1.


[13]
CsPaBe | PBE | optimized geometry

```
3
Lattice="0.000 3.426 3.426 3.426 0.000 3.426 3.426 3.426 0.000" Properties=species:S:1:pos:R:3 pbc="T T T"
Be 0.000 0.000 0.000
Cs 5.139 5.139 5.139
Pa 3.426 3.426 3.426
```

Values from the calculation:
For the raw total energy, the calculation gives -2.653 eV per atom. The space-group type is F-43m.


[14]
YErTm2Mg2 | PBE | optimized geometry

```
6
Lattice="-0.889 5.343 -0.235 0.992 0.548 8.716 4.371 1.059 7.552" Properties=species:S:1:pos:R:3 pbc="T T T"
Er 2.169 0.650 6.578
Mg 0.345 0.103 1.048
Mg 4.570 4.174 15.093
Tm 1.027 3.112 4.345
Tm 3.900 1.168 11.829
Y 2.746 3.627 9.559
```

Values from the calculation:
For the raw total energy, the calculation gives -3.907 eV per atom. The space-group type is Amm2.


[15]
TaICl4 | PBE | optimized geometry

```
12
Lattice="6.637 0.000 0.000 -2.891 6.572 0.000 -0.406 -3.567 9.287" Properties=species:S:1:pos:R:3 pbc="T T T"
Cl 4.785 1.934 1.484
Cl 1.817 -0.734 2.362
Cl 1.064 2.476 3.053
Cl 5.526 -0.256 3.911
Cl -2.186 3.261 5.376
Cl 2.276 0.529 6.235
Cl 1.523 3.739 6.926
Cl -1.445 1.071 7.803
I 2.586 5.139 0.445
I 0.754 -2.134 8.842
Ta -0.015 0.680 2.144
Ta 3.355 2.324 7.143
```

Values from the calculation:
For the raw total energy, the calculation gives -4.621 eV per atom. The space-group type is P-1.


[16]
Li2AlHg | PBE | optimized geometry

```
8
Lattice="4.493 0.000 0.000 0.000 4.517 0.000 0.000 0.000 6.557" Properties=species:S:1:pos:R:3 pbc="T T T"
Al 3.370 0.000 2.514
Al 1.123 0.000 4.044
Hg 3.370 2.259 0.962
Hg 1.123 2.259 5.596
Li 1.123 0.000 0.814
Li 1.123 2.259 2.474
Li 3.370 2.259 4.084
Li 3.370 0.000 5.744
```

Values from the calculation:
For the raw total energy, the calculation gives -2.243 eV per atom. The space-group type is Pmma.


[17]
GdAg | PBE | optimized geometry

```
2
Lattice="0.000 3.269 3.269 3.269 0.000 3.269 3.269 3.269 0.000" Properties=species:S:1:pos:R:3 pbc="T T T"
Ag 0.000 0.000 0.000
Gd 1.634 1.634 1.634
```

Values from the calculation:
For the raw total energy, the calculation gives -3.284 eV per atom. The space-group type is F-43m. Its calculated formation energy is 43.9 kJ/mol of atoms.


[18]
Ni12Te | PBE | optimized geometry

```
26
Lattice="5.963 0.000 0.000 0.000 2.657 0.000 -1.370 0.000 31.784" Properties=species:S:1:pos:R:3 pbc="T T T"
Ni 3.663 1.329 7.944
Ni -0.362 0.000 8.599
Ni 1.601 1.329 9.354
Ni 3.576 0.000 10.023
Ni -0.447 1.329 10.707
Ni 1.499 0.000 11.412
Ni 3.454 1.329 12.083
Ni 5.410 0.000 12.784
Ni 1.406 1.329 13.483
Ni 3.363 0.000 14.161
Ni 5.319 1.329 14.857
Ni 1.315 0.000 15.550
Ni 3.276 1.329 16.239
Ni -0.727 0.000 16.928
Ni 1.228 1.329 17.616
Ni 3.190 0.000 18.300
Ni -0.814 1.329 18.995
Ni 1.140 0.000 19.698
Ni 3.095 1.329 20.370
Ni 5.042 0.000 21.076
Ni 1.018 1.329 21.765
Ni 2.993 0.000 22.433
Ni 4.955 1.329 23.189
Ni 0.932 0.000 23.839
Te 1.647 0.000 6.972
Te 2.948 1.329 24.811
```

Values from the calculation:
For the raw total energy, the calculation gives -5.268 eV per atom. The space-group type is P2_1/m.


[19]
TlSn5Mo3 | PBE | optimized geometry

```
9
Lattice="-4.197 3.430 1.111 1.054 -1.479 -5.226 -5.147 -6.565 0.819" Properties=species:S:1:pos:R:3 pbc="T T T"
Mo -4.672 -1.568 0.965
Mo -2.046 -4.022 -2.204
Mo -4.145 -2.307 -1.648
Sn -3.525 0.418 -0.829
Sn -1.775 -1.218 -2.942
Sn -2.574 -3.282 0.410
Sn -6.515 -3.396 -0.354
Sn -4.765 -5.032 -2.466
Tl 0.000 0.000 0.000
```

Values from the calculation:
For the raw total energy, the calculation gives -5.955 eV per atom. The space-group type is P6/mmm.


[20]
NdTePb | PBE | optimized geometry

```
3
Lattice="0.000 3.729 3.729 3.729 0.000 3.729 3.729 3.729 0.000" Properties=species:S:1:pos:R:3 pbc="T T T"
Nd 1.864 1.864 1.864
Pb 5.593 5.593 5.593
Te 0.000 0.000 0.000
```

Values from the calculation:
For the raw total energy, the calculation gives -4.325 eV per atom. The space-group type is F-43m.


[21]
RbDyPO | PBE | optimized geometry

```
8
Lattice="2.907 -2.907 0.000 2.907 2.907 0.000 0.000 0.000 10.630" Properties=species:S:1:pos:R:3 pbc="T T T"
Dy 1.453 0.000 0.985
Dy 4.360 0.000 9.645
O 2.907 -1.453 0.000
O 2.907 1.453 0.000
P 4.360 0.000 2.803
P 1.453 0.000 7.826
Rb 2.907 -1.453 5.315
Rb 2.907 1.453 5.315
```

Values from the calculation:
For the raw total energy, the calculation gives -5.253 eV per atom. The space-group type is P4/nmm.


[22]
Na4ReO5 | PBE | optimized geometry

```
20
Lattice="5.601 0.000 0.000 -1.159 5.486 0.000 -1.679 -3.179 7.630" Properties=species:S:1:pos:R:3 pbc="T T T"
Na 2.801 0.000 0.000
Na 3.587 2.879 0.737
Na 0.910 3.467 2.264
Na 2.794 0.916 3.059
Na -0.839 -1.589 3.815
Na -0.031 1.391 4.572
Na 1.853 -1.160 5.366
Na -0.824 -0.572 6.893
O -0.412 4.528 0.282
O 1.548 1.548 1.191
O 4.066 -0.660 1.848
O -0.833 1.919 2.433
O 0.857 -0.290 3.108
O 1.906 2.598 4.522
O 3.596 0.389 5.197
O -1.303 2.968 5.782
O 1.215 0.760 6.439
O 3.175 -2.220 7.348
Re 0.005 0.457 1.577
Re 2.758 1.850 6.054
```

Values from the calculation:
For the raw total energy, the calculation gives -5.905 eV per atom. The space-group type is P-1.


[23]
Zr3Ag4Sn4 | PBE | optimized geometry

```
11
Lattice="6.614 0.000 -0.032 0.000 4.534 0.000 -0.038 0.000 8.203" Properties=species:S:1:pos:R:3 pbc="T T T"
Ag 4.409 1.134 0.527
Ag 1.220 1.134 3.486
Ag 5.361 3.401 4.728
Ag 2.103 3.401 7.547
Sn 1.512 1.134 0.704
Sn 4.921 1.134 3.234
Sn 1.680 3.401 4.865
Sn 5.159 3.401 7.394
Zr 6.507 3.401 1.854
Zr 3.183 3.401 2.242
Zr 3.415 1.134 5.860
```

Values from the calculation:
For the raw total energy, the calculation gives -4.982 eV per atom. The space-group type is Pm.


[24]
PrFeMo | PBE | optimized geometry

```
3
Lattice="-3.173 1.142 3.109 -2.479 3.820 -0.550 -4.454 -0.289 -1.056" Properties=species:S:1:pos:R:3 pbc="T T T"
Fe -2.527 1.168 0.376
Mo -7.580 3.504 1.128
Pr 0.000 0.000 0.000
```

Values from the calculation:
For the raw total energy, the calculation gives -6.270 eV per atom. The space-group type is F-43m. Its calculated formation energy is 164.7 kJ/mol of atoms.